Record 1
# PBE Ta3Mo, relaxed
# Energy above the most stable polymorph in this dataset in eV per atom: 0.066
# Calculated volume in A^3/atom: 17.6
data_Ta3Mo
_cell_length_a 2.878
_cell_length_b 2.878
_cell_length_c 9.074
_cell_angle_alpha 90.00
_cell_angle_beta 90.00
_cell_angle_gamma 110.41
_symmetry_space_group_name_H-M 'P 1'
_symmetry_Int_Tables_number 1
loop_
_symmetry_equiv_pos_as_xyz
'x,y,z'
loop_
_atom_site_label
_atom_site_fract_x
_atom_site_fract_y
_atom_site_fract_z
_atom_site_occupancy
Ta1 0.000 0.000 0.000 1
Ta2 0.500 0.500 0.259 1
Ta3 0.500 0.500 0.741 1
Mo1 0.000 0.000 0.500 1


Record 2
# PBE TaMo2, relaxed
# Calculated volume in A^3/atom: 19.7
# Energy in eV/atom: -9.733
data_TaMo2
_cell_length_a 6.183
_cell_length_b 6.183
_cell_length_c 6.183
_cell_angle_alpha 90.00
_cell_angle_beta 90.00
_cell_angle_gamma 90.00
_symmetry_space_group_name_H-M 'P 1'
_symmetry_Int_Tables_number 1
loop_
_symmetry_equiv_pos_as_xyz
'x,y,z'
loop_
_atom_site_label
_atom_site_fract_x
_atom_site_fract_y
_atom_site_fract_z
_atom_site_occupancy
Ta1 0.000 0.000 0.000 1
Ta2 0.000 0.500 0.500 1
Ta3 0.500 0.000 0.500 1
Ta4 0.500 0.500 0.000 1
Mo1 0.123 0.623 0.877 1
Mo2 0.123 0.877 0.377 1
Mo3 0.377 0.123 0.877 1
Mo4 0.377 0.377 0.377 1
Mo5 0.623 0.623 0.623 1
Mo6 0.623 0.877 0.123 1
Mo7 0.877 0.123 0.623 1
Mo8 0.877 0.377 0.123 1


no.,M_tot (μB/f.u.),D(E_F) (states/eV/atom),density (g/cm3)
1,0.00,1.353,15.06
2,0.00,0.963,10.48